No. 1
VASP calculation (PBE) on a relaxed structure of La4Pr3Te8.

**Calculated volume**: 35.42 Å³ per atom
**Uncorrected formation energy**: -1.55 eV/atom
**Crystal system**: monoclinic
**Total magnetization**: 0.00 μB per cell
**Density**: 6.25 Mg/m³

Unit cell a=9.0904 b=9.0904 c=9.0651 alpha=119.90 beta=119.90 gamma=90.01
With the nearest neighbours (Å) after each atom.
Sites, in units of the cell vectors:
1 La 0.0000 0.0000 0.0000  6 Te 3.22
2 La 0.0000 0.5000 0.0000  6 Te 3.21-3.22
3 La 0.5000 0.0000 0.0000  6 Te 3.21-3.22
4 La 0.5000 0.5000 0.5000  6 Te 3.28
5 Pr 0.0000 0.5000 0.5000  6 Te 3.21-3.22
6 Pr 0.5000 0.0000 0.5000  6 Te 3.21-3.22
7 Pr 0.5000 0.5000 0.0000  6 Te 3.20-3.21
8 Te 0.2453 0.2453 0.5014  3 Pr 3.21-3.22, 2 La 3.22-3.28
9 Te 0.2448 0.7552 0.5000  2 Pr 3.21, 3 La 3.22-3.28
10 Te 0.2457 0.2457 0.9897  1 Pr 3.20, 4 La 3.22-3.28
11 Te 0.2506 0.7494 0.0000  3 Pr 3.21, 3 La 3.21-3.22
12 Te 0.7494 0.2506 0.0000  3 Pr 3.21, 3 La 3.21-3.22
13 Te 0.7543 0.7543 0.0103  1 Pr 3.20, 4 La 3.22-3.28
14 Te 0.7552 0.2448 0.5000  2 Pr 3.21, 3 La 3.22-3.28
15 Te 0.7547 0.7547 0.4986  3 Pr 3.21-3.22, 2 La 3.22-3.28

***

No. 2
VASP calculation (PBE) on a relaxed structure of Mg2FePd6.

**Calculated volume**: 15.98 Å³ per atom
**Crystal system**: monoclinic
**Total magnetization**: 3.73 μB per cell
**Energy of formation from the pure elements**: -233 kJ/mol of formula units
**Density**: 8.58 Mg/m³

Unit cell a=7.9603 b=7.9603 c=2.8174 alpha=100.11 beta=100.11 gamma=55.27
With the nearest neighbours (Å) after each atom.
Sites, in units of the cell vectors:
1 Mg 0.1662 0.1662 0.1671  8 Pd 2.69-2.72, 2 Mg 2.82
2 Mg 0.8338 0.8338 0.8329  8 Pd 2.69-2.72, 2 Mg 2.82
3 Fe 0.5000 0.5000 0.5000  8 Pd 2.64-2.68, 2 Fe 2.82
4 Pd 0.1454 0.5243 0.3345  1 Fe 2.68, 3 Mg 2.69-2.72, 7 Pd 2.80-2.88
5 Pd 0.1981 0.8019 0.0000  2 Fe 2.64, 2 Mg 2.72, 7 Pd 2.81-2.93
6 Pd 0.4757 0.8546 0.6655  1 Fe 2.68, 3 Mg 2.69-2.72, 7 Pd 2.80-2.88
7 Pd 0.5243 0.1454 0.3345  1 Fe 2.68, 3 Mg 2.69-2.72, 7 Pd 2.80-2.88
8 Pd 0.8019 0.1981 0.0000  2 Fe 2.64, 2 Mg 2.72, 7 Pd 2.81-2.93
9 Pd 0.8546 0.4757 0.6655  1 Fe 2.68, 3 Mg 2.69-2.72, 7 Pd 2.80-2.88

***

No. 3
VASP calculation (PBE) on a relaxed structure of AlTl12Hg7.

**Calculated volume**: 29.99 Å³ per atom
**Crystal system**: trigonal
**Total magnetization**: 0.00 μB per cell
**Energy of formation from the pure elements**: 75 kJ/mol of formula units
**Density**: 10.75 Mg/m³

Unit cell a=10.8437 b=10.8437 c=10.8437 alpha=116.56 beta=116.56 gamma=116.56
With the nearest neighbours (Å) after each atom.
Sites, in units of the cell vectors:
1 Al 0.0000 0.0000 0.0000  8 Hg 2.81-3.05
2 Tl 0.0905 0.5000 0.9095  3 Tl 3.17-3.34, 2 Hg 3.23
3 Tl 0.0905 0.9095 0.5000  3 Tl 3.17-3.34, 2 Hg 3.23
4 Tl 0.0991 0.4450 0.4450  4 Hg 3.15-3.38, 1 Tl 3.28
5 Tl 0.4450 0.0991 0.4450  4 Hg 3.15-3.38, 1 Tl 3.28
6 Tl 0.4450 0.4450 0.0991  4 Hg 3.15-3.38, 1 Tl 3.28
7 Tl 0.5000 0.0905 0.9095  3 Tl 3.17-3.34, 2 Hg 3.23
8 Tl 0.5000 0.9095 0.0905  3 Tl 3.17-3.34, 2 Hg 3.23
9 Tl 0.5550 0.5550 0.9009  4 Hg 3.15-3.38, 1 Tl 3.28
10 Tl 0.5550 0.9009 0.5550  4 Hg 3.15-3.38, 1 Tl 3.28
11 Tl 0.9009 0.5550 0.5550  4 Hg 3.15-3.38, 1 Tl 3.28
12 Tl 0.9095 0.0905 0.5000  3 Tl 3.17-3.34, 2 Hg 3.23
13 Tl 0.9095 0.5000 0.0905  3 Tl 3.17-3.34, 2 Hg 3.23
14 Hg 0.1073 0.1073 0.3479  1 Al 2.81
15 Hg 0.1073 0.3479 0.1073  1 Al 2.81
16 Hg 0.3479 0.1073 0.1073  1 Al 2.81
17 Hg 0.5000 0.5000 0.5000  2 Al 3.05, 6 Hg 3.19
18 Hg 0.6521 0.8927 0.8927  1 Al 2.81
19 Hg 0.8927 0.6521 0.8927  1 Al 2.81
20 Hg 0.8927 0.8927 0.6521  1 Al 2.81

***

No. 4
VASP calculation (PBE) on a relaxed structure of LiTaMnSi.

**Calculated volume**: 12.83 Å³ per atom
**Uncorrected formation energy**: -0.23 eV/atom
**Crystal system**: cubic
**Total magnetization**: 3.86 μB per cell
**Density**: 8.76 Mg/m³

Unit cell a=5.8997 b=5.8997 c=5.8997 alpha=90.00 beta=90.00 gamma=90.00
With the nearest neighbours (Å) after each atom.
Sites, in units of the cell vectors:
1 Li 0.0000 0.0000 0.0000  4 Ta 2.55, 4 Si 2.55
2 Li 0.0000 0.5000 0.5000  4 Ta 2.55, 4 Si 2.55
3 Li 0.5000 0.0000 0.5000  4 Ta 2.55, 4 Si 2.55
4 Li 0.5000 0.5000 0.0000  4 Ta 2.55, 4 Si 2.55
5 Ta 0.2500 0.2500 0.2500  4 Mn 2.55, 4 Li 2.55
6 Ta 0.2500 0.7500 0.7500  4 Mn 2.55, 4 Li 2.55
7 Ta 0.7500 0.2500 0.7500  4 Mn 2.55, 4 Li 2.55
8 Ta 0.7500 0.7500 0.2500  4 Mn 2.55, 4 Li 2.55
9 Mn 0.0000 0.0000 0.5000  4 Ta 2.55, 4 Si 2.55
10 Mn 0.0000 0.5000 0.0000  4 Ta 2.55, 4 Si 2.55
11 Mn 0.5000 0.0000 0.0000  4 Ta 2.55, 4 Si 2.55
12 Mn 0.5000 0.5000 0.5000  4 Ta 2.55, 4 Si 2.55
13 Si 0.2500 0.2500 0.7500  4 Mn 2.55, 4 Li 2.55
14 Si 0.2500 0.7500 0.2500  4 Mn 2.55, 4 Li 2.55
15 Si 0.7500 0.2500 0.2500  4 Mn 2.55, 4 Li 2.55
16 Si 0.7500 0.7500 0.7500  4 Mn 2.55, 4 Li 2.55

***

No. 5
VASP calculation (PBE) on a relaxed structure of MnBe2In.

**Calculated volume**: 12.77 Å³ per atom
**Crystal system**: tetragonal
**Total magnetization**: 2.26 μB per cell
**Energy of formation from the pure elements**: 105 kJ/mol of formula units
**Density**: 6.11 Mg/m³

Unit cell a=2.8643 b=2.8643 c=6.2240 alpha=90.00 beta=90.00 gamma=90.00
With the nearest neighbours (Å) after each atom.
Sites, in units of the cell vectors:
1 Mn 0.0000 0.0000 0.0000  5 Be 2.31-2.40
2 Be 0.0000 0.0000 0.3705  4 Be 2.27, 1 Mn 2.31
3 Be 0.5000 0.5000 0.2058  4 Be 2.27, 4 Mn 2.40
4 In 0.5000 0.5000 0.6808  5 Be 2.80-2.96, 4 Mn 2.84, 4 In 2.86

***

No. 6
VASP calculation (PBE) on a relaxed structure of TiPN3.

**Calculated volume**: 9.41 Å³ per atom
**Uncorrected formation energy**: -0.66 eV/atom
**Crystal system**: monoclinic
**Total magnetization**: 0.00 μB per cell
**Density**: 4.27 Mg/m³

Unit cell a=6.5161 b=6.5161 c=4.4317 alpha=90.33 beta=90.33 gamma=88.83
With the nearest neighbours (Å) after each atom.
Sites, in units of the cell vectors:
1 Ti 0.1295 0.3339 0.1711  4 N 1.94-2.14
2 Ti 0.3339 0.1295 0.6711  4 N 1.94-2.14
3 Ti 0.6661 0.8705 0.3289  4 N 1.94-2.14
4 Ti 0.8705 0.6661 0.8289  4 N 1.94-2.14
5 P 0.1841 0.8159 0.2500  4 N 1.64-1.71
6 P 0.4160 0.5840 0.7500  6 N 1.75-1.83
7 P 0.5840 0.4160 0.2500  6 N 1.75-1.83
8 P 0.8159 0.1841 0.7500  4 N 1.64-1.71
9 N 0.0415 0.2359 0.6122  1 P 1.64
10 N 0.1813 0.6364 0.9663  2 P 1.71-1.83
11 N 0.2359 0.0415 0.1122  1 P 1.64
12 N 0.3393 0.4312 0.4460  2 P 1.75-1.82, 1 Ti 1.94
13 N 0.3636 0.8187 0.5337  2 P 1.71-1.83
14 N 0.4312 0.3393 0.9460  2 P 1.75-1.82, 1 Ti 1.94
15 N 0.5688 0.6607 0.0540  2 P 1.75-1.82, 1 Ti 1.94
16 N 0.6364 0.1813 0.4663  2 P 1.71-1.83
17 N 0.6607 0.5688 0.5540  2 P 1.75-1.82, 1 Ti 1.94
18 N 0.7641 0.9585 0.8878  1 P 1.64
19 N 0.8187 0.3636 0.0337  2 P 1.71-1.83
20 N 0.9585 0.7641 0.3878  1 P 1.64

***

No. 7
VASP calculation (PBE) on a relaxed structure of PmSmPu.

**Calculated volume**: 31.87 Å³ per atom
**Crystal system**: tetragonal
**Total magnetization**: 12.36 μB per cell
**Energy of formation from the pure elements**: 37 kJ/mol of formula units
**Density**: 9.37 Mg/m³

Unit cell a=3.5572 b=3.5572 c=15.1127 alpha=90.00 beta=90.00 gamma=90.00
With the nearest neighbours (Å) after each atom.
Sites, in units of the cell vectors:
1 Pm 0.0000 0.0000 0.0000  4 Pu 3.53, 4 Pm 3.56, 4 Sm 3.63
2 Pm 0.5000 0.5000 0.5000  4 Pu 3.53, 4 Pm 3.56, 4 Sm 3.63
3 Sm 0.0000 0.0000 0.3266  4 Pu 3.52, 4 Sm 3.56, 4 Pm 3.63
4 Sm 0.5000 0.5000 0.8266  4 Pu 3.52, 4 Sm 3.56, 4 Pm 3.63
5 Pu 0.0000 0.0000 0.6637  4 Sm 3.52, 4 Pm 3.53, 4 Pu 3.56
6 Pu 0.5000 0.5000 0.1637  4 Sm 3.52, 4 Pm 3.53, 4 Pu 3.56

***

No. 8
VASP calculation (PBE) on a relaxed structure of TiVOsW.

**Calculated volume**: 14.73 Å³ per atom
**Crystal system**: orthorhombic
**Total magnetization**: 0.00 μB per cell
**Energy of formation from the pure elements**: -119 kJ/mol of formula units
**Density**: 13.33 Mg/m³

Unit cell a=3.0748 b=4.3407 c=4.4140 alpha=90.00 beta=90.00 gamma=90.00
With the nearest neighbours (Å) after each atom.
Sites, in units of the cell vectors:
1 Ti 0.0000 0.0000 0.0000  4 Os 2.66, 4 W 2.69
2 V 0.0000 0.5000 0.5000  4 W 2.66, 4 Os 2.69
3 Os 0.5000 0.5000 0.0000  4 Ti 2.66, 4 V 2.69
4 W 0.5000 0.0000 0.5000  4 V 2.66, 4 Ti 2.69

***

Please write out number 7 again, unchanged.
VASP calculation (PBE) on a relaxed structure of PmSmPu.

**Calculated volume**: 31.87 Å³ per atom
**Crystal system**: tetragonal
**Total magnetization**: 12.36 μB per cell
**Energy of formation from the pure elements**: 37 kJ/mol of formula units
**Density**: 9.37 Mg/m³

Unit cell a=3.5572 b=3.5572 c=15.1127 alpha=90.00 beta=90.00 gamma=90.00
With the nearest neighbours (Å) after each atom.
Sites, in units of the cell vectors:
1 Pm 0.0000 0.0000 0.0000  4 Pu 3.53, 4 Pm 3.56, 4 Sm 3.63
2 Pm 0.5000 0.5000 0.5000  4 Pu 3.53, 4 Pm 3.56, 4 Sm 3.63
3 Sm 0.0000 0.0000 0.3266  4 Pu 3.52, 4 Sm 3.56, 4 Pm 3.63
4 Sm 0.5000 0.5000 0.8266  4 Pu 3.52, 4 Sm 3.56, 4 Pm 3.63
5 Pu 0.0000 0.0000 0.6637  4 Sm 3.52, 4 Pm 3.53, 4 Pu 3.56
6 Pu 0.5000 0.5000 0.1637  4 Sm 3.52, 4 Pm 3.53, 4 Pu 3.56

***

What did the fourth record say?
VASP calculation (PBE) on a relaxed structure of LiTaMnSi.

**Calculated volume**: 12.83 Å³ per atom
**Uncorrected formation energy**: -0.23 eV/atom
**Crystal system**: cubic
**Total magnetization**: 3.86 μB per cell
**Density**: 8.76 Mg/m³

Unit cell a=5.8997 b=5.8997 c=5.8997 alpha=90.00 beta=90.00 gamma=90.00
With the nearest neighbours (Å) after each atom.
Sites, in units of the cell vectors:
1 Li 0.0000 0.0000 0.0000  4 Ta 2.55, 4 Si 2.55
2 Li 0.0000 0.5000 0.5000  4 Ta 2.55, 4 Si 2.55
3 Li 0.5000 0.0000 0.5000  4 Ta 2.55, 4 Si 2.55
4 Li 0.5000 0.5000 0.0000  4 Ta 2.55, 4 Si 2.55
5 Ta 0.2500 0.2500 0.2500  4 Mn 2.55, 4 Li 2.55
6 Ta 0.2500 0.7500 0.7500  4 Mn 2.55, 4 Li 2.55
7 Ta 0.7500 0.2500 0.7500  4 Mn 2.55, 4 Li 2.55
8 Ta 0.7500 0.7500 0.2500  4 Mn 2.55, 4 Li 2.55
9 Mn 0.0000 0.0000 0.5000  4 Ta 2.55, 4 Si 2.55
10 Mn 0.0000 0.5000 0.0000  4 Ta 2.55, 4 Si 2.55
11 Mn 0.5000 0.0000 0.0000  4 Ta 2.55, 4 Si 2.55
12 Mn 0.5000 0.5000 0.5000  4 Ta 2.55, 4 Si 2.55
13 Si 0.2500 0.2500 0.7500  4 Mn 2.55, 4 Li 2.55
14 Si 0.2500 0.7500 0.2500  4 Mn 2.55, 4 Li 2.55
15 Si 0.7500 0.2500 0.2500  4 Mn 2.55, 4 Li 2.55
16 Si 0.7500 0.7500 0.7500  4 Mn 2.55, 4 Li 2.55